Record 1
# NaScO3

Crystalline NaScO3 at its relaxed geometry (PBE, Alexandria via LeMat-Bulk). Values from VASP.

Symmetry: No. 221
Energy in eV/cell: -25.9
DOS at the Fermi energy in states/eV/cell: 1.82
Magnetization in μB per formula unit: 2.000

Cell and atoms, written as Quantum ESPRESSO input:
```
&SYSTEM
  ibrav = 0, nat = 5, ntyp = 3
/
ATOMIC_SPECIES
Na 22.99 Na.upf
Sc 44.96 Sc.upf
O 16.00 O.upf
ATOMIC_POSITIONS angstrom
Na 0.000 0.000 0.000
Sc 1.925 1.925 1.925
O 0.000 0.000 1.925
O 0.000 1.925 0.000
O 1.925 0.000 0.000
CELL_PARAMETERS angstrom
3.850 0.000 0.000
0.000 3.850 0.000
0.000 0.000 3.850
```

Record 2
# Cs3Na2ReO6

Crystalline Cs3Na2ReO6 at its relaxed geometry (PBE, Alexandria via LeMat-Bulk). Values from VASP.

Symmetry: No. 12
Energy in eV/cell: -65.8
DOS at the Fermi energy in states/eV/cell: 0.00
Magnetization in μB per formula unit: 0.000

Cell and atoms, written as Quantum ESPRESSO input:
```
&SYSTEM
  ibrav = 0, nat = 12, ntyp = 4
/
ATOMIC_SPECIES
Cs 132.91 Cs.upf
Na 22.99 Na.upf
Re 186.21 Re.upf
O 16.00 O.upf
ATOMIC_POSITIONS angstrom
Cs 0.000 0.000 0.000
Cs 3.114 1.876 0.000
Cs 3.114 -1.876 0.000
Na 2.154 3.644 3.244
Na 2.154 -3.644 3.244
Re 2.154 0.000 3.244
O 1.313 1.374 2.187
O 0.611 0.000 4.410
O 1.313 -1.374 2.187
O 2.996 1.374 4.301
O 3.698 0.000 2.079
O 2.996 -1.374 4.301
CELL_PARAMETERS angstrom
3.114 -5.463 0.000
3.114 5.463 0.000
-1.920 0.000 6.489
```

Record 3
# Zr4GaHg

Crystalline Zr4GaHg at its relaxed geometry (PBE, Alexandria via LeMat-Bulk). Values from VASP.

Symmetry: No. 124
Formation energy in kJ/mol of atoms: -23.8
DOS at the Fermi energy in states/eV/cell: 16.44
Magnetization in μB per formula unit: 0.000

Cell and atoms, written as Quantum ESPRESSO input:
```
&SYSTEM
  ibrav = 0, nat = 12, ntyp = 3
/
ATOMIC_SPECIES
Zr 91.22 Zr.upf
Ga 69.72 Ga.upf
Hg 200.59 Hg.upf
ATOMIC_POSITIONS angstrom
Zr 0.981 2.323 0.000
Zr 0.981 4.517 2.781
Zr 2.323 0.981 2.781
Zr 2.323 5.859 0.000
Zr 4.517 0.981 0.000
Zr 4.517 5.859 2.781
Zr 5.859 2.323 2.781
Zr 5.859 4.517 0.000
Ga 0.000 0.000 1.390
Ga 0.000 0.000 4.171
Hg 3.420 3.420 1.390
Hg 3.420 3.420 4.171
CELL_PARAMETERS angstrom
6.839 0.000 0.000
0.000 6.839 0.000
0.000 0.000 5.561
```

Record 4
# LiZrPd3

Crystalline LiZrPd3 at its relaxed geometry (PBE, Alexandria via LeMat-Bulk). Values from VASP.

Symmetry: No. 221
Excess energy over the best structure of this formula in the dataset in meV/atom: 790
Formation energy in kJ/mol of atoms: 38.0
DOS at the Fermi energy in states/eV/cell: 2.61
Magnetization in μB per formula unit: 0.000

Cell and atoms, written as Quantum ESPRESSO input:
```
&SYSTEM
  ibrav = 0, nat = 5, ntyp = 3
/
ATOMIC_SPECIES
Li 6.94 Li.upf
Zr 91.22 Zr.upf
Pd 106.42 Pd.upf
ATOMIC_POSITIONS angstrom
Li 0.000 0.000 0.000
Zr 2.478 2.478 2.478
Pd 0.000 2.478 2.478
Pd 2.478 0.000 2.478
Pd 2.478 2.478 0.000
CELL_PARAMETERS angstrom
4.956 0.000 0.000
0.000 4.956 0.000
0.000 0.000 4.956
```

Record 5
# LiCaGaAg

Crystalline LiCaGaAg at its relaxed geometry (PBE, Alexandria via LeMat-Bulk). Values from VASP.

Symmetry: No. 8
Formation energy in kJ/mol of atoms: -27.7
DOS at the Fermi energy in states/eV/cell: 2.83
Magnetization in μB per formula unit: 0.000

Cell and atoms, written as Quantum ESPRESSO input:
```
&SYSTEM
  ibrav = 0, nat = 4, ntyp = 4
/
ATOMIC_SPECIES
Li 6.94 Li.upf
Ca 40.08 Ca.upf
Ga 69.72 Ga.upf
Ag 107.87 Ag.upf
ATOMIC_POSITIONS angstrom
Li 0.000 0.000 0.000
Ca 5.280 0.000 1.871
Ga 0.020 0.000 3.990
Ag 2.651 0.000 3.678
CELL_PARAMETERS angstrom
3.950 -2.279 0.000
3.950 2.279 0.000
-2.608 0.000 4.866
```

Record 6
# AgH3Pd5

Crystalline AgH3Pd5 at its relaxed geometry (PBE, Alexandria via LeMat-Bulk). Values from VASP.

Symmetry: No. 12
Excess energy over the best structure of this formula in the dataset in meV/atom: 18
DOS at the Fermi energy in states/eV/cell: 5.96
Magnetization in μB per formula unit: 0.000

Cell and atoms, written as Quantum ESPRESSO input:
```
&SYSTEM
  ibrav = 0, nat = 18, ntyp = 3
/
ATOMIC_SPECIES
Ag 107.87 Ag.upf
H 1.01 H.upf
Pd 106.42 Pd.upf
ATOMIC_POSITIONS angstrom
Ag -0.661 0.000 2.273
Ag 5.761 0.000 4.757
H 0.000 0.000 0.000
H -2.399 0.000 3.515
H -0.926 0.000 5.854
H 2.486 0.000 1.857
H 2.615 0.000 5.174
H 6.026 0.000 1.177
Pd 1.710 1.581 2.372
Pd 2.395 0.000 0.022
Pd 4.949 1.343 0.000
Pd 3.390 1.581 4.659
Pd 0.920 0.000 4.631
Pd 4.180 0.000 2.399
Pd 1.710 -1.581 2.372
Pd 4.949 -1.343 0.000
Pd 2.706 0.000 7.009
Pd 3.390 -1.581 4.659
CELL_PARAMETERS angstrom
4.949 -2.993 0.000
4.949 2.993 0.000
-4.798 0.000 7.031
```

Record 7
# PmNb4Ge2

Crystalline PmNb4Ge2 at its relaxed geometry (PBE, Alexandria via LeMat-Bulk). Values from VASP.

Symmetry: No. 65
Formation energy in kJ/mol of atoms: -9.6
DOS at the Fermi energy in states/eV/cell: 6.65
Magnetization in μB per formula unit: 0.000

Cell and atoms, written as Quantum ESPRESSO input:
```
&SYSTEM
  ibrav = 0, nat = 7, ntyp = 3
/
ATOMIC_SPECIES
Pm 145.00 Pm.upf
Nb 92.91 Nb.upf
Ge 72.64 Ge.upf
ATOMIC_POSITIONS angstrom
Pm 0.000 0.000 0.000
Nb 2.409 4.184 2.313
Nb 2.409 2.741 0.000
Nb 2.409 -2.741 0.000
Nb 2.409 -4.184 2.313
Ge 2.409 1.324 2.313
Ge 2.409 -1.324 2.313
CELL_PARAMETERS angstrom
2.409 -6.706 0.000
2.409 6.706 0.000
0.000 0.000 4.625
```

Record 8
# Ti3CoS6

Crystalline Ti3CoS6 at its relaxed geometry (PBE, Alexandria via LeMat-Bulk). Values from VASP.

Symmetry: No. 148
Energy in eV/cell: -67.5
DOS at the Fermi energy in states/eV/cell: 3.60
Magnetization in μB per formula unit: 0.957

Cell and atoms, written as Quantum ESPRESSO input:
```
&SYSTEM
  ibrav = 0, nat = 10, ntyp = 3
/
ATOMIC_SPECIES
Ti 47.87 Ti.upf
Co 58.93 Co.upf
S 32.06 S.upf
ATOMIC_POSITIONS angstrom
Ti 0.000 0.000 0.000
Ti 0.000 0.000 5.557
Ti 0.000 0.000 11.288
Co 0.000 0.000 8.422
S -0.946 -1.668 7.080
S -1.918 -0.015 9.765
S -0.971 1.653 7.080
S 0.971 -1.653 9.765
S 1.918 0.015 7.080
S 0.946 1.668 9.765
CELL_PARAMETERS angstrom
2.922 1.687 5.615
-2.922 1.687 5.615
0.000 -3.374 5.615
```

Copy entry 6 word for word.
# AgH3Pd5

Crystalline AgH3Pd5 at its relaxed geometry (PBE, Alexandria via LeMat-Bulk). Values from VASP.

Symmetry: No. 12
Excess energy over the best structure of this formula in the dataset in meV/atom: 18
DOS at the Fermi energy in states/eV/cell: 5.96
Magnetization in μB per formula unit: 0.000

Cell and atoms, written as Quantum ESPRESSO input:
```
&SYSTEM
  ibrav = 0, nat = 18, ntyp = 3
/
ATOMIC_SPECIES
Ag 107.87 Ag.upf
H 1.01 H.upf
Pd 106.42 Pd.upf
ATOMIC_POSITIONS angstrom
Ag -0.661 0.000 2.273
Ag 5.761 0.000 4.757
H 0.000 0.000 0.000
H -2.399 0.000 3.515
H -0.926 0.000 5.854
H 2.486 0.000 1.857
H 2.615 0.000 5.174
H 6.026 0.000 1.177
Pd 1.710 1.581 2.372
Pd 2.395 0.000 0.022
Pd 4.949 1.343 0.000
Pd 3.390 1.581 4.659
Pd 0.920 0.000 4.631
Pd 4.180 0.000 2.399
Pd 1.710 -1.581 2.372
Pd 4.949 -1.343 0.000
Pd 2.706 0.000 7.009
Pd 3.390 -1.581 4.659
CELL_PARAMETERS angstrom
4.949 -2.993 0.000
4.949 2.993 0.000
-4.798 0.000 7.031
```